Computed, not measured: Be2BiB after structural relaxation at the GGA-PBE level of DFT.

Calculated formation energy, kcal/mol of atoms: 32.434

abc: 6.172 6.172 6.172
angles: 90.00 90.00 90.00
Space group Fm-3m (No. 225)
Inequivalent atoms, fractional coordinates:
Be (0.250, 0.250, 0.250)
Bi (0.000, 0.000, 0.000)
B (0.000, 0.000, 0.500)


Computed, not measured: Co2NiICl after structural relaxation at the GGA-PBE level of DFT.

ΔE_f (raw), eV/atom: 1.13

abc: 4.853 4.853 4.682
angles: 90.00 90.00 90.00
Space group P4/mmm (No. 123)
Inequivalent atoms, fractional coordinates:
Co (0.000, 0.500, 0.000)
Ni (0.000, 0.000, 0.500)
I (0.000, 0.000, 0.000)
Cl (0.500, 0.500, 0.500)


Computed, not measured: UReNiP2 after structural relaxation at the GGA-PBE level of DFT.

Calculated formation energy, kcal/mol of atoms: -12.777

abc: 3.824 3.824 10.371
angles: 90.00 90.00 90.00
Space group I-4m2 (No. 119)
Inequivalent atoms, fractional coordinates:
U (0.000, 0.000, 0.000)
Re (0.000, 0.500, 0.750)
Ni (0.000, 0.500, 0.250)
P (0.000, 0.000, 0.382)


Computed, not measured: AlTl2Cu after structural relaxation at the GGA-PBE level of DFT.

Calculated formation energy, kcal/mol of atoms: 8.627

abc: 7.102 7.102 7.102
angles: 90.00 90.00 90.00
Space group Fm-3m (No. 225)
Inequivalent atoms, fractional coordinates:
Al (0.000, 0.000, 0.000)
Tl (0.250, 0.250, 0.250)
Cu (0.000, 0.000, 0.500)


Computed, not measured: TiGeHRu2 after structural relaxation at the GGA-PBE level of DFT.

Total DFT energy (no corrections), eV/atom: -7.220

abc: 4.041 4.041 3.672
angles: 90.00 90.00 90.00
Space group P4/mmm (No. 123)
Inequivalent atoms, fractional coordinates:
Ti (0.000, 0.000, 0.000)
Ge (0.500, 0.500, 0.000)
H (0.000, 0.000, 0.500)
Ru (0.000, 0.500, 0.500)


Computed, not measured: Nb3BP after structural relaxation at the GGA-PBE level of DFT.

Calculated formation energy, kcal/mol of atoms: 2.583

abc: 4.307 4.307 4.307
angles: 90.00 90.00 90.00
Space group Pm-3m (No. 221)
Inequivalent atoms, fractional coordinates:
Nb (0.000, 0.000, 0.500)
B (0.000, 0.000, 0.000)
P (0.500, 0.500, 0.500)


Computed, not measured: NaLiRuN2 after structural relaxation at the GGA-PBE level of DFT.

ΔE_f (raw), eV/atom: 0.40

abc: 3.892 3.892 4.500
angles: 90.00 90.00 90.00
Space group P4/mmm (No. 123)
Inequivalent atoms, fractional coordinates:
Na (0.000, 0.000, 0.000)
Li (0.500, 0.500, 0.000)
Ru (0.500, 0.500, 0.500)
N (0.000, 0.500, 0.500)


Computed, not measured: Pd2RhBr after structural relaxation at the GGA-PBE level of DFT.

ΔE_f (raw), eV/atom: 0.49

abc: 7.268 7.268 5.320
angles: 90.00 90.00 90.00
Space group I-42d (No. 122)
Inequivalent atoms, fractional coordinates:
Pd (0.248, 0.250, 0.125)
Rh (0.000, 0.000, 0.500)
Br (0.000, 0.000, 0.000)


Computed, not measured: Ir2Ru4Rh after structural relaxation at the GGA-PBE level of DFT.

Calculated formation energy, kcal/mol of atoms: 11.829

abc: 7.450 7.450 8.143
angles: 90.00 90.00 90.00
Space group I4/mcm (No. 140)
Inequivalent atoms, fractional coordinates:
Ir (0.145, 0.355, 0.000)
Ru (0.150, 0.350, 0.330)
Rh (0.000, 0.000, 0.250)


Computed, not measured: Li3Hg2Bi2 after structural relaxation at the GGA-PBE level of DFT.

Calculated formation energy, kcal/mol of atoms: -6.597

abc: 10.619 4.332 7.063
angles: 90.00 96.83 90.00
Space group C2/m (No. 12)
Inequivalent atoms, fractional coordinates:
Li (0.000, 0.000, 0.000)
Li (0.139, 0.000, 0.432)
Hg (0.197, 0.500, 0.165)
Bi (0.084, 0.500, 0.710)


Computed, not measured: CaTi2F2 after structural relaxation at the GGA-PBE level of DFT.

ΔE_f (raw), eV/atom: 0.09

abc: 5.852 5.852 4.135
angles: 90.00 90.00 90.00
Space group P4/mmm (No. 123)
Inequivalent atoms, fractional coordinates:
Ca (0.000, 0.000, 0.000)
Ti (0.000, 0.500, 0.000)
F (0.000, 0.000, 0.500)
F (0.500, 0.500, 0.500)


Computed, not measured: ScAuN2 after structural relaxation at the GGA-PBE level of DFT.

ΔE_f (raw), eV/atom: -0.06

abc: 3.3962 3.3962 17.8416
angles: 90.00 90.00 120.00
Space group R-3m (No. 166, hexagonal axes)
Inequivalent atoms, fractional coordinates:
Sc (0.0000, 0.0000, 0.0000)
Au (0.0000, 0.0000, 0.5000)
N (0.0000, 0.0000, 0.3904)


Computed, not measured: Pa3Ge2Te3 after structural relaxation at the GGA-PBE level of DFT.

ΔE_f (raw), eV/atom: -0.73

abc: 8.9643 8.9643 5.9011
angles: 90.00 90.00 120.00
Space group P6_3/mcm (No. 193)
Inequivalent atoms, fractional coordinates:
Pa (0.0000, 0.3973, 0.2500)
Ge (0.3333, 0.6667, 0.0000)
Te (0.0000, 0.2520, 0.7500)


Computed, not measured: Pm2ErOs after structural relaxation at the GGA-PBE level of DFT.

Calculated formation energy, kcal/mol of atoms: 1.385

abc: 3.451 3.451 9.565
angles: 90.00 90.00 90.00
Space group P4/mmm (No. 123)
Inequivalent atoms, fractional coordinates:
Pm (0.000, 0.000, 0.181)
Er (0.500, 0.500, 0.500)
Os (0.500, 0.500, 0.000)


Computed, not measured: CrBi3Os after structural relaxation at the GGA-PBE level of DFT.

Calculated formation energy, kcal/mol of atoms: 32.869

abc: 5.103 5.103 5.103
angles: 90.00 90.00 90.00
Space group Pm-3m (No. 221)
Inequivalent atoms, fractional coordinates:
Cr (0.000, 0.000, 0.000)
Bi (0.000, 0.000, 0.500)
Os (0.500, 0.500, 0.500)


Computed, not measured: Ba3Ga8Pd3 after structural relaxation at the GGA-PBE level of DFT.

Calculated formation energy, kcal/mol of atoms: -12.103

abc: 4.481 11.266 12.841
angles: 90.00 90.00 90.00
Space group Immm (No. 71)
Inequivalent atoms, fractional coordinates:
Ba (0.000, 0.000, 0.000)
Ba (0.000, 0.000, 0.315)
Ga (0.000, 0.293, 0.109)
Ga (0.000, 0.331, 0.317)
Pd (0.000, 0.242, 0.500)
Pd (0.000, 0.500, 0.000)


Computed, not measured: Sm2Th2Mg after structural relaxation at the GGA-PBE level of DFT.

Calculated formation energy, kcal/mol of atoms: -0.705

abc: 3.621 3.621 23.685
angles: 90.00 90.00 90.00
Space group I4/mmm (No. 139)
Inequivalent atoms, fractional coordinates:
Sm (0.000, 0.000, 0.094)
Th (0.000, 0.000, 0.301)
Mg (0.000, 0.000, 0.500)


Computed, not measured: CrAsPt after structural relaxation at the GGA-PBE level of DFT.

Calculated formation energy, kcal/mol of atoms: 1.323

abc: 2.843 2.843 11.270
angles: 90.00 90.00 90.00
Space group I4mm (No. 107)
Inequivalent atoms, fractional coordinates:
Cr (0.000, 0.000, 0.000)
As (0.000, 0.000, 0.351)
Pt (0.000, 0.000, 0.649)


Computed, not measured: PrCo2C2 after structural relaxation at the GGA-PBE level of DFT.

Calculated formation energy, kcal/mol of atoms: -2.554

abc: 3.375 3.375 10.602
angles: 90.00 90.00 90.00
Space group I4/mmm (No. 139)
Inequivalent atoms, fractional coordinates:
Pr (0.000, 0.000, 0.000)
Co (0.000, 0.500, 0.250)
C (0.000, 0.000, 0.343)


Computed, not measured: Rb2CdBr after structural relaxation at the GGA-PBE level of DFT.

ΔE_f (raw), eV/atom: -0.79

abc: 4.268 4.268 9.153
angles: 90.00 90.00 90.00
Space group P4/mmm (No. 123)
Inequivalent atoms, fractional coordinates:
Rb (0.000, 0.000, 0.222)
Cd (0.500, 0.500, 0.500)
Br (0.500, 0.500, 0.000)


Computed, not measured: Sr3La after structural relaxation at the GGA-PBE level of DFT.

Calculated formation energy, kcal/mol of atoms: 3.804

abc: 5.810 5.810 5.810
angles: 90.00 90.00 90.00
Space group Pm-3m (No. 221)
Inequivalent atoms, fractional coordinates:
Sr (0.000, 0.000, 0.500)
La (0.500, 0.500, 0.500)


Computed, not measured: PdSO3 after structural relaxation at the GGA-PBE level of DFT.

ΔE_f (raw), eV/atom: 0.36

abc: 3.706 3.706 3.706
angles: 90.00 90.00 90.00
Space group Pm-3m (No. 221)
Inequivalent atoms, fractional coordinates:
Pd (0.000, 0.000, 0.000)
S (0.500, 0.500, 0.500)
O (0.000, 0.500, 0.500)


Computed, not measured: K2SrIn2 after structural relaxation at the GGA-PBE level of DFT.

Calculated formation energy, kcal/mol of atoms: -0.711

abc: 8.634 8.634 5.985
angles: 90.00 90.00 90.00
Space group P4/mbm (No. 127)
Inequivalent atoms, fractional coordinates:
K (0.171, 0.329, 0.000)
Sr (0.000, 0.000, 0.500)
In (0.118, 0.618, 0.500)


Computed, not measured: TlZnPb2 after structural relaxation at the GGA-PBE level of DFT.

Calculated formation energy, kcal/mol of atoms: 2.484

abc: 3.733 5.771 10.483
angles: 90.00 90.00 90.00
Space group Cmmm (No. 65)
Inequivalent atoms, fractional coordinates:
Tl (0.000, 0.000, 0.000)
Zn (0.000, 0.000, 0.500)
Pb (0.000, 0.500, 0.281)


Computed, not measured: ErCd3Pd7 after structural relaxation at the GGA-PBE level of DFT.

Calculated formation energy, kcal/mol of atoms: -6.577

abc: 9.126 9.482 5.307
angles: 90.00 113.69 90.00
Space group C2/m (No. 12)
Inequivalent atoms, fractional coordinates:
Er (0.000, 0.000, 0.000)
Cd (0.000, 0.284, 0.500)
Cd (0.000, 0.500, 0.000)
Pd (0.000, 0.000, 0.500)
Pd (0.177, 0.258, 0.179)
Pd (0.211, 0.500, 0.540)


Computed, not measured: ScRe2Ag after structural relaxation at the GGA-PBE level of DFT.

Calculated formation energy, kcal/mol of atoms: 4.406

abc: 4.537 4.537 6.407
angles: 90.00 90.00 90.00
Space group I-4m2 (No. 119)
Inequivalent atoms, fractional coordinates:
Sc (0.000, 0.000, 0.000)
Re (0.000, 0.000, 0.500)
Re (0.000, 0.500, 0.250)
Ag (0.000, 0.500, 0.750)